An optimized crystal structure of LiMnPO4. Source: Alexandria, functional GGA+U.

Calculated values
* theoretical density: 3.37 g/cm3
* polymorph energy (0 for the lowest one): 53 meV/atom
* uncorrected energy: -7.13 eV/atom
* space group: No. 33

abc: 7.668 7.876 5.126
angles: 90.00 90.00 90.00
Atoms (fractional coordinates):
Li: 0.193 0.055 0.000
Li: 0.307 0.555 0.500
Li: 0.693 0.445 0.000
Li: 0.807 0.945 0.500
Mn: 0.011 0.307 0.467
Mn: 0.489 0.807 0.967
Mn: 0.511 0.193 0.467
Mn: 0.989 0.693 0.967
P: 0.214 0.911 0.505
P: 0.286 0.411 0.005
P: 0.714 0.589 0.505
P: 0.786 0.089 0.005
O: 0.059 0.035 0.484
O: 0.139 0.497 0.173
O: 0.166 0.744 0.651
O: 0.221 0.364 0.727
O: 0.279 0.864 0.227
O: 0.334 0.244 0.151
O: 0.361 0.997 0.673
O: 0.441 0.535 0.984
O: 0.559 0.465 0.484
O: 0.639 0.003 0.173
O: 0.666 0.756 0.651
O: 0.721 0.136 0.727
O: 0.779 0.636 0.227
O: 0.834 0.256 0.151
O: 0.861 0.503 0.673
O: 0.941 0.965 0.984